# LiIn2W

An optimized crystal structure of LiIn2W (GGA-PBEsol, the Alexandria database).

Theoretical density   9.87 g/cm3
Offset from the most stable computed form   281 meV per atom
Raw total energy   -0.181 hartree per atom
Calculated volume   141 Å³ per cell

a = 3.0390 Å, b = 5.0556 Å, c = 9.2054 Å
α = 90.00°, β = 90.00°, γ = 90.00°
Space group Immm (No. 71)
Symmetry-distinct sites (fractional):
Li: 0.0000 0.0000 0.0000
In: 0.0000 0.5000 0.2660
W: 0.0000 0.0000 0.5000

# Li2YIn

An optimized crystal structure of Li2YIn (GGA-PBEsol, the Alexandria database).

Theoretical density   3.72 g/cm3
Raw total energy   -0.127 hartree per atom
Calculated volume   388 Å³ per cell

a = 4.3353 Å, b = 4.3353 Å, c = 20.6632 Å
α = 90.00°, β = 90.00°, γ = 90.00°
Space group I-42d (No. 122)
Symmetry-distinct sites (fractional):
Li: 0.1762 0.2500 0.1250
Y: 0.0000 0.0000 0.5000
In: 0.0000 0.0000 0.0000